Density functional theory data (PBE-GGA) for an optimized crystal structure of Ni3Ir4W.

a b c (Å): 3.841 3.841 14.611
angles (deg): 90.00 90.00 90.00
Space group I4/mmm (No. 139)
Inequivalent atoms, fractional coordinates:
Ni (0.000, 0.000, 0.000) x2
Ni (0.000, 0.000, 0.245) x4
Ir (0.000, 0.500, 0.126) x8
W (0.000, 0.000, 0.500) x2

Computed properties:
N(E_F) = 1.338 states/eV per atom
E_tot = -8.31 eV/atom
Energy of formation = -8.9 kJ per mole of atoms



Density functional theory data (PBE-GGA) for an optimized crystal structure of SrAcC2O8.

a b c (Å): 5.0513 5.0513 8.0478
angles (deg): 90.00 90.00 120.00
Space group P-3m1 (No. 164)
Inequivalent atoms, fractional coordinates:
Sr (0.0000, 0.0000, 0.0000) x1
Ac (0.0000, 0.0000, 0.5000) x1
C (0.3333, 0.6667, 0.7090) x2
O (0.1854, 0.3708, 0.7661) x6
O (0.3333, 0.6667, 0.5343) x2

Computed properties:
N(E_F) = 0.571 states/eV per atom
E_tot = -7.04 eV/atom
Formation energy without anion corrections = -1718 meV per atom



Density functional theory data (PBE-GGA) for an optimized crystal structure of CaV2Pt.

a b c (Å): 6.378 6.378 6.378
angles (deg): 90.00 90.00 90.00
Space group Fm-3m (No. 225)
Inequivalent atoms, fractional coordinates:
Ca (0.000, 0.000, 0.000) x4
V (0.250, 0.250, 0.250) x8
Pt (0.000, 0.000, 0.500) x4

Computed properties:
Distance to the lowest polymorph of the same formula = 0.0 meV/atom
N(E_F) = 1.392 states/eV per atom
E_tot = -6.23 eV/atom
Energy of formation = 33.0 kJ per mole of atoms



Density functional theory data (PBE-GGA) for an optimized crystal structure of TmZrU.

a b c (Å): 5.2168 5.2168 3.1540
angles (deg): 90.00 90.00 120.00
Space group P-6m2 (No. 187)
Inequivalent atoms, fractional coordinates:
Tm (0.0000, 0.0000, 0.0000) x1
Zr (0.3333, 0.6667, 0.5000) x1
U (0.6667, 0.3333, 0.5000) x1

Computed properties:
Distance to the lowest polymorph of the same formula = 0.0 meV/atom
N(E_F) = 1.976 states/eV per atom
E_tot = -7.80 eV/atom
Energy of formation = 29.3 kJ per mole of atoms



Density functional theory data (PBE-GGA) for an optimized crystal structure of Rb2DyCl6.

a b c (Å): 15.564 7.912 4.951
angles (deg): 90.00 104.44 90.00
Space group C2/m (No. 12)
Inequivalent atoms, fractional coordinates:
Rb (0.168, 0.000, 0.161) x4
Dy (0.000, 0.500, 0.500) x2
Cl (0.000, 0.302, 0.000) x4
Cl (0.139, 0.283, 0.638) x8

Computed properties:
N(E_F) = 0.596 states/eV per atom
E_tot = -3.74 eV/atom
Formation energy without anion corrections = -1786 meV per atom



Density functional theory data (PBE-GGA) for an optimized crystal structure of SmY2Pu.

a b c (Å): 7.986 7.986 7.986
angles (deg): 90.00 90.00 90.00
Space group Fm-3m (No. 225)
Inequivalent atoms, fractional coordinates:
Sm (0.000, 0.000, 0.000) x4
Y (0.250, 0.250, 0.250) x8
Pu (0.000, 0.000, 0.500) x4

Computed properties:
Distance to the lowest polymorph of the same formula = 103.4 meV/atom
N(E_F) = 2.888 states/eV per atom
E_tot = -7.78 eV/atom
Energy of formation = 20.4 kJ per mole of atoms